1.
Below is Ba2NiPb after structural relaxation, with properties calculated at the PBE level.

VASP energy in eV/atom: -3.2595
Total magnetic moment in μB/f.u.: 0.000
N(E_F) in states/eV per cell: 6.24

Cell lengths 9.1451, 9.1451, 7.2832 Å; angles 51.11, 51.11, 90.00 degrees
Last column: nearest neighbours and their distance in Å.
Element x y z (fractional)
Pb 0.0000 0.0000 0.0000  2 Ni 3.35
Pb 0.7500 0.2500 0.5000  2 Ni 3.35
Ni 0.5000 0.5000 0.0000  4 Ba 2.94
Ni 0.2500 0.7500 0.5000  4 Ba 2.94
Ba 0.5549 0.1250 0.2500  2 Ni 2.94
Ba 0.1951 0.6250 0.2500  2 Ni 2.94
Ba 0.3750 0.4451 0.7500  2 Ni 2.94
Ba 0.8750 0.8049 0.7500  2 Ni 2.94

2.
Below is BiH2S6 after structural relaxation, with properties calculated at the PBE level.

VASP energy in eV/atom: -3.9517
Total magnetic moment in μB/f.u.: 0.000
N(E_F) in states/eV per cell: 3.21

Cell lengths 8.4786, 21.1627, 8.4786 Å; angles 44.51, 26.94, 44.51 degrees
Last column: nearest neighbours and their distance in Å.
Element x y z (fractional)
Bi 0.0096 0.7500 0.9904  6 S 2.81-2.89, 4 H 3.13-3.14
Bi 0.9904 0.2500 0.0096  6 S 2.81-2.89, 4 H 3.13-3.14
H 0.3677 0.9177 0.3518  1 S 1.37
H 0.6482 0.5823 0.6323  1 S 1.37
H 0.6323 0.0823 0.6482  1 S 1.37
H 0.3518 0.4177 0.3677  1 S 1.37
S 0.4513 0.5963 0.5171  1 S 1.97
S 0.4829 0.9037 0.5487  1 S 1.97
S 0.5487 0.4037 0.4829  1 S 1.97
S 0.5171 0.0963 0.4513  1 S 1.97
S 0.6739 0.1250 0.6749  1 H 1.37
S 0.3251 0.3750 0.3261  1 H 1.37
S 0.3261 0.8750 0.3251  1 H 1.37
S 0.6749 0.6250 0.6739  1 H 1.37
S 0.1491 0.8258 0.0320  1 S 1.97
S 0.9680 0.6742 0.8509  1 S 1.97
S 0.8509 0.1742 0.9680  1 S 1.97
S 0.0320 0.3258 0.1491  1 S 1.97

Question: The highest N(E_F) belongs to which entry?
Answer: Ba2NiPb